Nd2Sm4Er: relaxed, PBE-GGA.

Cell lengths 20.793, 20.793, 20.793 Å; angles 10.00, 10.00, 10.00 degrees
Positions (direct):
Nd (0.072, 0.072, 0.072)
Nd (0.928, 0.928, 0.928)
Sm (0.213, 0.213, 0.213)
Sm (0.357, 0.357, 0.357)
Sm (0.643, 0.643, 0.643)
Sm (0.787, 0.787, 0.787)
Er (0.500, 0.500, 0.500)

Computed properties:
Space group: R-3m (166)
Magnetization: 0.00 μB/f.u.
Relative energy among the computed polymorphs: 0 meV per atom